[1]
Here is an optimized crystal structure of Th2ZrTl from Alexandria via LeMat-Bulk. Energies are from GGA-PBE.

Calculated values
- volume (Å³/cell) = 461.6
- total DFT energy (no corrections) (eV/atom) = -6.31
- distance to the lowest polymorph of the same formula (eV per atom) = 0.1644
- calculated formation energy (eV/atom) = 0.132

a b c (Å): 7.7285 7.7285 7.7285
angles (deg): 90.00 90.00 90.00
Last column: nearest neighbours and their distance in Å.
Space group Fm-3m (No. 225)
Inequivalent atoms, fractional coordinates:
Th  0.2500  0.2500  0.2500 [8 per cell]  4 Tl 3.35, 4 Zr 3.35
Zr  0.0000  0.0000  0.0000 [4 per cell]  8 Th 3.35
Tl  0.0000  0.0000  0.5000 [4 per cell]  8 Th 3.35

[2]
Here is an optimized crystal structure of SrTlNi from Alexandria via LeMat-Bulk. Energies are from GGA-PBE.

Calculated values
- volume (Å³/cell) = 312.0
- total DFT energy (no corrections) (eV/atom) = -3.48
- calculated formation energy (eV/atom) = -0.203

a b c (Å): 13.1579 4.1725 5.7907
angles (deg): 90.00 101.03 90.00
Last column: nearest neighbours and their distance in Å.
Space group C2/m (No. 12)
Inequivalent atoms, fractional coordinates:
Sr  0.1244  0.0000  0.3154 [4 per cell]  4 Ni 2.99-3.34
Tl  0.0939  0.5000  0.7955 [4 per cell]  3 Ni 2.68-2.73
Ni  0.2227  0.0000  0.8914 [4 per cell]  2 Ni 2.47, 3 Tl 2.68-2.73

[3]
Here is an optimized crystal structure of Zr2Sc2Ag from Alexandria via LeMat-Bulk. Energies are from GGA-PBE.

Calculated values
- volume (Å³/cell) = 221.3
- total DFT energy (no corrections) (eV/atom) = -6.63
- distance to the lowest polymorph of the same formula (eV per atom) = 0.0000
- calculated formation energy (eV/atom) = -0.107

a b c (Å): 3.2287 3.2287 21.2269
angles (deg): 90.00 90.00 90.00
Last column: nearest neighbours and their distance in Å.
Space group I4/mmm (No. 139)
Inequivalent atoms, fractional coordinates:
Zr  0.0000  0.0000  0.1969 [4 per cell]  4 Sc 3.20, 8 Zr 3.21-3.23
Sc  0.0000  0.0000  0.4086 [4 per cell]  4 Ag 3.00, 4 Zr 3.20, 4 Sc 3.23
Ag  0.0000  0.0000  0.0000 [2 per cell]  8 Sc 3.00, 4 Ag 3.23

[4]
Here is an optimized crystal structure of HoTm2Ni from Alexandria via LeMat-Bulk. Energies are from GGA-PBE.

Calculated values
- volume (Å³/cell) = 399.3
- total DFT energy (no corrections) (eV/atom) = -5.10
- distance to the lowest polymorph of the same formula (eV per atom) = 0.0000
- calculated formation energy (eV/atom) = -0.272

a b c (Å): 6.7726 9.4254 6.2545
angles (deg): 90.00 90.00 90.00
Last column: nearest neighbours and their distance in Å.
Space group Pnma (No. 62)
Inequivalent atoms, fractional coordinates:
Ho  0.0316  0.2500  0.1368 [4 per cell]  2 Ni 2.71-2.77
Tm  0.1782  0.0655  0.6789 [8 per cell]  2 Ni 2.72-2.81
Ni  0.1088  0.7500  0.4467 [4 per cell]  2 Ho 2.71-2.77, 4 Tm 2.72-2.81